# Mg5Ga (PBE, optimized geometry)
data_Mg5Ga
_chemical_formula_sum 'Mg5 Ga1'
_space_group_name_H-M_alt 'P -6 2 m'
_space_group_IT_number 189
_space_group_name_Hall 'P -6 -2'
_cell_length_a 5.4547
_cell_length_b 5.4547
_cell_length_c 5.0413
_cell_angle_alpha 90.00
_cell_angle_beta 90.00
_cell_angle_gamma 120.00
loop_
_atom_site_label
_atom_site_type_symbol
_atom_site_fract_x
_atom_site_fract_y
_atom_site_fract_z
Mg1 Mg 0.0000 0.6766 0.0000
Mg2 Mg 0.3333 0.6667 0.5000
Ga1 Ga 0.0000 0.0000 0.5000
# theoretical density	2.44	g/cm³
# energy	-1.8720	eV/atom
# total moment	0.00	μB per atom

# Dy2YOsO8 (PBE, optimized geometry)
data_Dy2YOsO8
_chemical_formula_sum 'Dy4 Y2 Os2 O16'
_space_group_name_H-M_alt 'C m m m'
_space_group_IT_number 65
_space_group_name_Hall '-C 2 2'
_cell_length_a 7.0993
_cell_length_b 7.1520
_cell_length_c 6.7870
_cell_angle_alpha 90.00
_cell_angle_beta 90.00
_cell_angle_gamma 90.00
loop_
_atom_site_label
_atom_site_type_symbol
_atom_site_fract_x
_atom_site_fract_y
_atom_site_fract_z
Dy1 Dy 0.0000 0.0000 0.2467
Y1 Y 0.0000 0.5000 0.0000
Os1 Os 0.0000 0.5000 0.5000
O1 O 0.0000 0.3167 0.2909
O2 O 0.1921 0.0000 0.0000
O3 O 0.2358 0.0000 0.5000
# theoretical density	7.06	g/cm³
# total moment	0.09	μB per atom
# energy relative to the elements, uncorrected	-2.535	eV/atom

# InGaPb2Se5 (PBE, optimized geometry)
data_InGaPb2Se5
_chemical_formula_sum 'In4 Ga4 Pb8 Se20'
_space_group_name_H-M_alt 'C m c 21'
_space_group_IT_number 36
_space_group_name_Hall 'C 2c -2'
_cell_length_a 4.0275
_cell_length_b 18.4726
_cell_length_c 13.1188
_cell_angle_alpha 90.00
_cell_angle_beta 90.00
_cell_angle_gamma 90.00
loop_
_atom_site_label
_atom_site_type_symbol
_atom_site_fract_x
_atom_site_fract_y
_atom_site_fract_z
In1 In 0.0000 0.2023 0.0000
Ga1 Ga 0.0000 0.4453 0.4008
Pb1 Pb 0.0000 0.1243 0.2953
Pb2 Pb 0.0000 0.1290 0.6451
Se1 Se 0.0000 0.0434 0.0114
Se2 Se 0.0000 0.2906 0.6462
Se3 Se 0.0000 0.3161 0.3521
Se4 Se 0.0000 0.3506 0.9842
Se5 Se 0.0000 0.4886 0.7446
# theoretical density	6.76	g/cm³
# total moment	0.00	μB per atom
# energy relative to the elements, uncorrected	-0.548	eV/atom

# Ce5HoTl8 (PBE, optimized geometry)
data_Ce5HoTl8
_chemical_formula_sum 'Ce10 Ho2 Tl16'
_space_group_name_H-M_alt 'I -4'
_space_group_IT_number 82
_space_group_name_Hall 'I -4'
_cell_length_a 9.5358
_cell_length_b 9.5358
_cell_length_c 9.3925
_cell_angle_alpha 90.00
_cell_angle_beta 90.00
_cell_angle_gamma 90.00
loop_
_atom_site_label
_atom_site_type_symbol
_atom_site_fract_x
_atom_site_fract_y
_atom_site_fract_z
Ce1 Ce 0.0000 0.0000 0.0000
Ce2 Ce 0.1192 0.2438 0.6270
Ho1 Ho 0.0000 0.5000 0.2500
Tl1 Tl 0.0772 0.3353 0.9640
Tl2 Tl 0.0875 0.1778 0.2881
# theoretical density	9.72	g/cm³
# energy	-3.9522	eV/atom
# total moment	0.43	μB per atom

# Rb2AgTeI (PBE, optimized geometry)
data_Rb2AgTeI
_chemical_formula_sum 'Rb2 Ag1 Te1 I1'
_space_group_name_H-M_alt 'P 4/m m m'
_space_group_IT_number 123
_space_group_name_Hall '-P 4 2'
_cell_length_a 7.0505
_cell_length_b 7.0505
_cell_length_c 5.2136
_cell_angle_alpha 90.00
_cell_angle_beta 90.00
_cell_angle_gamma 90.00
loop_
_atom_site_label
_atom_site_type_symbol
_atom_site_fract_x
_atom_site_fract_y
_atom_site_fract_z
Rb1 Rb 0.0000 0.5000 0.0000
Ag1 Ag 0.0000 0.0000 0.5000
Te1 Te 0.0000 0.0000 0.0000
I1 I 0.5000 0.5000 0.5000
# theoretical density	3.42	g/cm³
# total moment	0.00	μB per atom
# energy relative to the elements, uncorrected	-0.801	eV/atom

# LaW2N2 (PBE, optimized geometry)
data_LaW2N2
_chemical_formula_sum 'La2 W4 N4'
_space_group_name_H-M_alt 'I 4/m m m'
_space_group_IT_number 139
_space_group_name_Hall '-I 4 2'
_cell_length_a 3.6420
_cell_length_b 3.6420
_cell_length_c 11.5495
_cell_angle_alpha 90.00
_cell_angle_beta 90.00
_cell_angle_gamma 90.00
loop_
_atom_site_label
_atom_site_type_symbol
_atom_site_fract_x
_atom_site_fract_y
_atom_site_fract_z
La1 La 0.0000 0.0000 0.0000
W1 W 0.0000 0.5000 0.2500
N1 N 0.0000 0.0000 0.3632
# theoretical density	11.59	g/cm³
# total moment	0.00	μB per atom
# energy relative to the elements, uncorrected	0.053	eV/atom

# LaCd2Hg7 (PBE, optimized geometry)
data_LaCd2Hg7
_chemical_formula_sum 'La2 Cd4 Hg14'
_space_group_name_H-M_alt 'C m m m'
_space_group_IT_number 65
_space_group_name_Hall '-C 2 2'
_cell_length_a 9.7373
_cell_length_b 17.6480
_cell_length_c 3.4989
_cell_angle_alpha 90.00
_cell_angle_beta 90.00
_cell_angle_gamma 90.00
loop_
_atom_site_label
_atom_site_type_symbol
_atom_site_fract_x
_atom_site_fract_y
_atom_site_fract_z
La1 La 0.0000 0.0000 0.0000
Cd1 Cd 0.0000 0.3288 0.5000
Hg1 Hg 0.0000 0.1924 0.0000
Hg2 Hg 0.0000 0.5000 0.5000
Hg3 Hg 0.2284 0.0987 0.5000
# theoretical density	9.76	g/cm³
# energy	-0.9474	eV/atom
# total moment	0.00	μB per atom

# ErTmGaNi (PBE, optimized geometry)
data_ErTmGaNi
_chemical_formula_sum 'Er2 Tm2 Ga2 Ni2'
_space_group_name_H-M_alt 'A m m 2'
_space_group_IT_number 38
_space_group_name_Hall 'A 2 -2'
_cell_length_a 4.3158
_cell_length_b 3.6660
_cell_length_c 10.7118
_cell_angle_alpha 90.00
_cell_angle_beta 90.00
_cell_angle_gamma 90.00
loop_
_atom_site_label
_atom_site_type_symbol
_atom_site_fract_x
_atom_site_fract_y
_atom_site_fract_z
Er1 Er 0.0000 0.0000 0.0000
Tm1 Tm 0.5000 0.0000 0.7157
Ga1 Ga 0.0000 0.0000 0.2848
Ni1 Ni 0.5000 0.0000 0.4249
# theoretical density	9.10	g/cm³
# energy	-4.9823	eV/atom
# total moment	0.00	μB per atom

- Look up the total moment of the sixth one.
  0.00 μB per atom

Repeat the sixth record exactly.
# LaW2N2 (PBE, optimized geometry)
data_LaW2N2
_chemical_formula_sum 'La2 W4 N4'
_space_group_name_H-M_alt 'I 4/m m m'
_space_group_IT_number 139
_space_group_name_Hall '-I 4 2'
_cell_length_a 3.6420
_cell_length_b 3.6420
_cell_length_c 11.5495
_cell_angle_alpha 90.00
_cell_angle_beta 90.00
_cell_angle_gamma 90.00
loop_
_atom_site_label
_atom_site_type_symbol
_atom_site_fract_x
_atom_site_fract_y
_atom_site_fract_z
La1 La 0.0000 0.0000 0.0000
W1 W 0.0000 0.5000 0.2500
N1 N 0.0000 0.0000 0.3632
# theoretical density	11.59	g/cm³
# total moment	0.00	μB per atom
# energy relative to the elements, uncorrected	0.053	eV/atom